Entry 1:
A PBEsol-optimized structure of SrLi2Hg2, computed with meta-GGA SCAN.

Lattice parameters (Å, degrees): 8.069 8.069 3.374 90.00 90.00 90.00
Space group P4/mbm (No. 127)
Symmetry-distinct sites (fractional):
Sr 0.000 0.000 0.000 x2
Li 0.119 0.381 0.000 x4
Hg 0.173 0.673 0.500 x4

Calculated values
**Energy above the lowest structure with this stoichiometry**: 75 meV/atom
**Energy of formation from the pure elements**: -0.44 eV/atom

=====

Entry 2:
A PBEsol-optimized structure of HgTe2N2, computed with meta-GGA SCAN.

Lattice parameters (Å, degrees): 4.295 4.295 6.309 90.00 90.00 90.00
Space group P4/mmm (No. 123)
Symmetry-distinct sites (fractional):
Hg 0.000 0.000 0.000 x1
Te 0.000 0.000 0.500 x1
Te 0.500 0.500 0.500 x1
N 0.000 0.500 0.000 x2

Calculated values
**ΔE_f (raw)**: 158 kJ/mol of atoms

=====

Entry 3:
A PBEsol-optimized structure of BaCaTe, computed with meta-GGA SCAN.

Lattice parameters (Å, degrees): 4.047 4.047 14.181 90.00 90.00 90.00
Space group I4mm (No. 107)
Symmetry-distinct sites (fractional):
Ba 0.000 0.000 0.000 x2
Ca 0.000 0.000 0.732 x2
Te 0.000 0.000 0.345 x2

Calculated values
**Energy above the lowest structure with this stoichiometry**: 46 meV/atom
**ΔE_f (raw)**: -104 kJ/mol of atoms